Record 1
TcH2Os | PBE | relaxed

Computed properties:
Raw total energy (eV/atom): -6.077

abc: 5.2627 5.2627 5.2627
angles: 90.00 90.00 90.00
With the nearest neighbours (Å) after each atom.
Space group Fm-3m (No. 225)
Inequivalent atoms, fractional coordinates:
Tc  0.0000  0.0000  0.0000 x4  8 H 2.28
H  0.2500  0.2500  0.2500 x8  4 Tc 2.28, 4 Os 2.28
Os  0.0000  0.0000  0.5000 x4  8 H 2.28


Record 2
Tc2HOs | PBE | relaxed

Computed properties:
Raw total energy (eV/atom): -8.883

abc: 2.7868 2.7868 20.1320
angles: 90.00 90.00 120.00
With the nearest neighbours (Å) after each atom.
Space group R3m (No. 160, hexagonal axes)
Inequivalent atoms, fractional coordinates:
Tc  0.0000  0.0000  0.0000 x3  3 H 2.00
Tc  0.0000  0.0000  0.2141 x3  3 H 2.01
H  0.0000  0.0000  0.6075 x3  6 Tc 2.00-2.01
Os  0.0000  0.0000  0.7750 x3  6 Tc 2.67-2.71, 6 Os 2.79


Record 3
Tc2H2Os | PBE | relaxed

Computed properties:
Raw total energy (eV/atom): -7.447

abc: 5.9859 5.9859 2.8080
angles: 90.00 90.00 90.00
With the nearest neighbours (Å) after each atom.
Space group P4/mbm (No. 127)
Inequivalent atoms, fractional coordinates:
Tc  0.1355  0.3645  0.0000 x4  2 H 1.97
H  0.2008  0.7008  0.5000 x4  2 Tc 1.97, 2 Os 2.16
Os  0.0000  0.0000  0.5000 x2  4 H 2.16


Record 4
Tc2HOs | PBE | relaxed

Computed properties:
Raw total energy (eV/atom): -8.526

abc: 6.0439 6.0439 5.1884
angles: 90.00 90.00 90.00
With the nearest neighbours (Å) after each atom.
Space group I-42d (No. 122)
Inequivalent atoms, fractional coordinates:
Tc  0.1565  0.2500  0.1250 x8  2 H 1.90
H  0.0000  0.0000  0.0000 x4  4 Tc 1.90
Os  0.0000  0.0000  0.5000 x4  2 H 2.59, 8 Tc 2.64-2.65


Record 5
Tc2HOs | PBE | relaxed

Computed properties:
Raw total energy (eV/atom): -8.097

abc: 5.9154 5.9154 5.9154
angles: 90.00 90.00 90.00
With the nearest neighbours (Å) after each atom.
Space group Fm-3m (No. 225)
Inequivalent atoms, fractional coordinates:
Tc  0.2500  0.2500  0.2500 x8  4 H 2.56, 4 Os 2.56
H  0.0000  0.0000  0.0000 x4  8 Tc 2.56
Os  0.0000  0.0000  0.5000 x4  8 Tc 2.56


Record 6
TiTcHOs2 | PBE | relaxed

Computed properties:
Raw total energy (eV/atom): -7.897

abc: 4.7611 4.7611 3.0066
angles: 90.00 90.00 90.00
With the nearest neighbours (Å) after each atom.
Space group P4/mmm (No. 123)
Inequivalent atoms, fractional coordinates:
Ti  0.0000  0.0000  0.0000 x1  2 H 1.50
Tc  0.5000  0.5000  0.5000 x1  8 Os 2.82, 2 Tc 3.01
H  0.0000  0.0000  0.5000 x1  2 Ti 1.50
Os  0.0000  0.5000  0.0000 x2  2 Ti 2.38


Record 7
V2TcHOs | PBE | relaxed

Computed properties:
Raw total energy (eV/atom): -8.686

abc: 3.9922 3.9922 3.6556
angles: 90.00 90.00 90.00
With the nearest neighbours (Å) after each atom.
Space group P4/mmm (No. 123)
Inequivalent atoms, fractional coordinates:
V  0.0000  0.5000  0.0000 x2  2 H 2.00
Tc  0.0000  0.0000  0.5000 x1  8 V 2.71, 4 Os 2.82
H  0.5000  0.5000  0.0000 x1  2 Os 1.83, 4 V 2.00
Os  0.5000  0.5000  0.5000 x1  2 H 1.83


Record 8
VTc2HOs | PBE | relaxed

Computed properties:
Raw total energy (eV/atom): -8.912

abc: 3.8862 3.8862 3.9013
angles: 90.00 90.00 90.00
With the nearest neighbours (Å) after each atom.
Space group P4/mmm (No. 123)
Inequivalent atoms, fractional coordinates:
V  0.0000  0.0000  0.0000 x1  2 H 1.95
Tc  0.0000  0.5000  0.5000 x2  2 H 1.94
H  0.0000  0.0000  0.5000 x1  4 Tc 1.94, 2 V 1.95
Os  0.5000  0.5000  0.0000 x1  4 V 2.75, 8 Tc 2.75


Record 9
V2TcHOs | PBE | relaxed

Computed properties:
Raw total energy (eV/atom): -6.734

abc: 4.5931 4.5931 4.7133
angles: 90.00 90.00 90.00
With the nearest neighbours (Å) after each atom.
Space group P4/mmm (No. 123)
Inequivalent atoms, fractional coordinates:
V  0.0000  0.5000  0.0000 x2  2 Os 2.30
Tc  0.0000  0.0000  0.5000 x1  2 Os 2.36
H  0.5000  0.5000  0.5000 x1  4 Tc 3.25, 8 V 3.29
Os  0.0000  0.0000  0.0000 x1  4 V 2.30, 2 Tc 2.36


Record 10
V2TcHOs | PBE | relaxed

Computed properties:
Raw total energy (eV/atom): -8.708

abc: 3.9611 3.9611 3.6956
angles: 90.00 90.00 90.00
With the nearest neighbours (Å) after each atom.
Space group P4/mmm (No. 123)
Inequivalent atoms, fractional coordinates:
V  0.0000  0.5000  0.0000 x2  2 H 1.98
Tc  0.0000  0.0000  0.5000 x1  2 H 1.85
H  0.0000  0.0000  0.0000 x1  2 Tc 1.85, 4 V 1.98
Os  0.5000  0.5000  0.5000 x1  8 V 2.71, 4 Tc 2.80


Record 11
Tc2HOsW | PBE | relaxed

Computed properties:
Raw total energy (eV/atom): -9.595

abc: 3.9536 3.9536 3.9381
angles: 90.00 90.00 90.00
With the nearest neighbours (Å) after each atom.
Space group P4/mmm (No. 123)
Inequivalent atoms, fractional coordinates:
Tc  0.0000  0.5000  0.0000 x2  2 H 1.98
H  0.0000  0.0000  0.0000 x1  2 Os 1.97, 4 Tc 1.98
Os  0.0000  0.0000  0.5000 x1  2 H 1.97
W  0.5000  0.5000  0.5000 x1  8 Tc 2.79, 4 Os 2.80


Record 12
Tc2HOsW | PBE | relaxed

Computed properties:
Raw total energy (eV/atom): -9.581

abc: 3.9268 3.9268 3.9930
angles: 90.00 90.00 90.00
With the nearest neighbours (Å) after each atom.
Space group P4/mmm (No. 123)
Inequivalent atoms, fractional coordinates:
Tc  0.0000  0.5000  0.0000 x2  2 H 1.96
H  0.0000  0.0000  0.0000 x1  4 Tc 1.96, 2 W 2.00
Os  0.5000  0.5000  0.5000 x1  4 W 2.78, 8 Tc 2.80
W  0.0000  0.0000  0.5000 x1  2 H 2.00